meta-GGA SCAN TlSb, PBEsol geometry; SG = P4/nmm (129); E = -2.0095 Ha/atom
1.0
3.309 0.000 0.000
0.000 3.309 0.000
0.000 0.000 10.117
Tl Sb
2 2
Direct
0.250 0.250 0.136 Tl
0.750 0.750 0.864 Tl
0.250 0.250 0.622 Sb
0.750 0.750 0.378 Sb

---

meta-GGA SCAN Tl7Sb2, PBEsol geometry; SG = Im-3m (229); E = -2.3730 Ha/atom
1.0
-5.772 5.772 5.772
5.772 -5.772 5.772
5.772 5.772 -5.772
Tl Sb
21 6
Direct
0.000 0.000 0.000 Tl
0.000 0.000 0.341 Tl
0.000 0.000 0.659 Tl
0.000 0.341 0.000 Tl
0.000 0.348 0.652 Tl
0.000 0.652 0.348 Tl
0.000 0.659 0.000 Tl
0.305 0.652 0.652 Tl
0.341 0.000 0.000 Tl
0.341 0.341 0.341 Tl
0.348 0.000 0.652 Tl
0.348 0.348 0.695 Tl
0.348 0.652 0.000 Tl
0.348 0.695 0.348 Tl
0.652 0.000 0.348 Tl
0.652 0.305 0.652 Tl
0.652 0.348 0.000 Tl
0.652 0.652 0.305 Tl
0.659 0.000 0.000 Tl
0.659 0.659 0.659 Tl
0.695 0.348 0.348 Tl
0.000 0.305 0.305 Sb
0.000 0.695 0.695 Sb
0.305 0.000 0.305 Sb
0.305 0.305 0.000 Sb
0.695 0.000 0.695 Sb
0.695 0.695 0.000 Sb

---

meta-GGA SCAN Tl3Sb, PBEsol geometry; SG = Pmmm (47); E = -2.3361 Ha/atom
1.0
3.567 0.000 0.000
0.000 4.287 0.000
0.000 0.000 7.413
Tl Sb
3 1
Direct
0.000 0.000 0.000 Tl
0.500 0.500 0.263 Tl
0.500 0.500 0.737 Tl
0.000 0.000 0.500 Sb

---

meta-GGA SCAN Tl3Sb, PBEsol geometry; SG = Pmmn (59); E = -2.3360 Ha/atom
1.0
5.588 0.000 0.000
0.000 6.980 0.000
0.000 0.000 5.826
Tl Sb
6 2
Direct
0.250 0.002 0.179 Tl
0.250 0.250 0.670 Tl
0.250 0.498 0.179 Tl
0.750 0.502 0.821 Tl
0.750 0.750 0.330 Tl
0.750 0.998 0.821 Tl
0.250 0.750 0.666 Sb
0.750 0.250 0.334 Sb

---

meta-GGA SCAN Tl3Sb, PBEsol geometry; SG = R-3m (166); E = -2.3344 Ha/atom
1.0
5.438 3.140 1.093
-5.438 3.140 1.093
0.000 -6.279 1.093
Tl Sb
3 1
Direct
0.000 0.500 0.500 Tl
0.500 0.000 0.500 Tl
0.500 0.500 0.000 Tl
0.000 0.000 0.000 Sb

---

meta-GGA SCAN TlSb, PBEsol geometry; SG = Cmcm (63); E = -2.0125 Ha/atom
1.0
2.351 -6.447 0.000
2.351 6.447 0.000
0.000 0.000 4.028
Tl Sb
2 2
Direct
0.161 0.839 0.750 Tl
0.839 0.161 0.250 Tl
0.418 0.582 0.750 Sb
0.582 0.418 0.250 Sb

---

meta-GGA SCAN Tl3Sb, PBEsol geometry; SG = Immm (71); E = -2.3354 Ha/atom
1.0
-1.771 2.808 5.689
1.771 -2.808 5.689
1.771 2.808 -5.689
Tl Sb
3 1
Direct
0.000 0.000 0.000 Tl
0.261 0.761 0.500 Tl
0.739 0.239 0.500 Tl
0.500 0.500 0.000 Sb

---

meta-GGA SCAN Tl3Sb, PBEsol geometry; SG = C2/m (12); E = -2.3357 Ha/atom
1.0
5.481 -1.638 0.000
5.481 1.638 0.000
-0.689 0.000 6.305
Tl Sb
3 1
Direct
0.000 0.000 0.000 Tl
0.247 0.247 0.748 Tl
0.753 0.753 0.252 Tl
0.500 0.500 0.500 Sb

---

meta-GGA SCAN TlSb, PBEsol geometry; SG = P2_1/m (11); E = -2.0124 Ha/atom
1.0
3.142 0.000 0.000
0.000 5.499 0.000
-0.122 0.000 6.543
Tl Sb
2 2
Direct
0.184 0.250 0.379 Tl
0.816 0.750 0.621 Tl
0.497 0.250 0.892 Sb
0.503 0.750 0.108 Sb

---

meta-GGA SCAN TlSb3, PBEsol geometry; distance to the lowest polymorph of the same formula = 0.0 meV/atom; SG = Pmmm (47); E = -1.6890 Ha/atom
1.0
3.199 0.000 0.000
0.000 5.540 0.000
0.000 0.000 6.284
Tl Sb
1 3
Direct
0.000 0.000 0.000 Tl
0.500 0.000 0.500 Sb
0.500 0.500 0.251 Sb
0.500 0.500 0.749 Sb

---

meta-GGA SCAN Tl3Sb4, PBEsol geometry; SG = P6/mmm (191); E = -1.9096 Ha/atom
1.0
6.045 0.000 0.000
-3.023 5.235 0.000
0.000 0.000 6.313
Tl Sb
3 4
Direct
0.000 0.500 0.000 Tl
0.500 0.000 0.000 Tl
0.500 0.500 0.000 Tl
0.000 0.000 0.281 Sb
0.000 0.000 0.719 Sb
0.333 0.667 0.500 Sb
0.667 0.333 0.500 Sb

---

meta-GGA SCAN Tl3Sb, PBEsol geometry; SG = Cmmm (65); E = -2.3353 Ha/atom
1.0
3.310 -5.271 0.000
3.310 5.271 0.000
0.000 0.000 3.226
Tl Sb
3 1
Direct
0.000 0.000 0.000 Tl
0.000 0.500 0.500 Tl
0.500 0.000 0.500 Tl
0.500 0.500 0.000 Sb

---

no.,E_form (uncorrected) (eV per atom),size of the total moment (μB per formula unit)
1,0.127,0.0
2,-0.014,0.0
3,0.014,0.0
4,0.017,0.0
5,0.062,0.0
6,0.046,0.0
7,0.035,0.0
8,0.025,0.0
9,0.050,0.0
10,0.076,0.0
11,0.338,0.0
12,0.037,0.0